Record 1
Computed, not measured: MnRe2Ru after structural relaxation at the GGA-PBEsol level of DFT.

- E above lowest polymorph: 0.063 eV per atom
- ΔE_f: 0.07 eV/atom

Lattice parameters (Å, degrees): 2.6822 3.7162 5.3609 90.00 90.00 90.00
Last column: nearest neighbours and their distance in Å.
Space group Pmmm (No. 47)
Unique sites:
Mn1 0.0000 0.0000 0.0000 x1  8 Re 2.62, 2 Ru 2.68, 2 Mn 2.68
Re1 0.5000 0.5000 0.2387 x2  4 Re 2.56-2.80, 4 Mn 2.62, 4 Ru 2.69
Ru1 0.0000 0.0000 0.5000 x1  2 Mn 2.68, 2 Ru 2.68, 8 Re 2.69

Record 2
Computed, not measured: LaMgFe after structural relaxation at the GGA-PBEsol level of DFT.

- ΔE_f: 0.88 eV/atom

Lattice parameters (Å, degrees): 6.7639 6.7639 6.7639 90.00 90.00 90.00
Last column: nearest neighbours and their distance in Å.
Space group F-43m (No. 216)
Unique sites:
La1 0.0000 0.0000 0.0000 x4  4 Mg 2.93
Mg1 0.2500 0.2500 0.2500 x4  4 La 2.93, 4 Fe 2.93
Fe1 0.0000 0.0000 0.5000 x4  4 Mg 2.93

Number 1: total magnetic moment 0.82 μB per cell. Number 2: total magnetic moment 7.83 μB per cell.